## LaBi3H (GGA-PBEsol)

Data for a geometry-optimized LaBi3H structure.

a b c (Å): 4.966 4.966 4.966
angles (deg): 90.00 90.00 90.00
Atoms (fractional coordinates):
H1 0.000 0.000 0.000
Bi1 0.000 0.500 0.000
Bi2 0.000 0.000 0.500
Bi3 0.500 0.000 0.000
La1 0.500 0.500 0.500

Final energy   -4.582 eV/atom
Total magnetic moment   0.0 μB/f.u.
SG   Pm-3m, No. 221
DOS at the Fermi energy   1.67 states/eV/f.u.